Computed, not measured: a geometry-optimized CsAcMnF6 structure at the PBE with a Hubbard U level of DFT.

a b c (Å): 8.3837 7.8183 7.8956
angles (deg): 119.68 122.07 90.00
Fractional positions:
Cs 0.8372 0.5872 0.6745
Cs 0.1628 0.4128 0.3255
Ac 0.5000 0.0000 0.5000
Ac 0.0000 0.0000 0.5000
Mn 0.5000 0.5000 0.0000
Mn 0.5000 0.0000 0.0000
F 0.5902 0.8402 0.1804
F 0.8686 0.1186 0.7371
F 0.8184 0.1527 0.2681
F 0.4498 0.6154 0.2681
F 0.4498 0.1527 0.2681
F 0.8184 0.6154 0.2681
F 0.4098 0.1598 0.8196
F 0.1314 0.8814 0.2629
F 0.1816 0.8473 0.7319
F 0.5502 0.3846 0.7319
F 0.5502 0.8473 0.7319
F 0.1816 0.3846 0.7319

Symmetry: Imma
Fermi-level density of states, states/eV per cell: 0.00
E_tot, eV per formula unit: -53.85